Compound: Fe3Sn5Au
Source: the Open Quantum Materials Database
Functional: PBE
Structure: relaxed

**Energy**: -5.28 eV/atom

The structure in CIF format:
```
data_Fe3Sn5Au
_cell_length_a 5.2320
_cell_length_b 5.2320
_cell_length_c 7.6479
_cell_angle_alpha 90.00
_cell_angle_beta 90.00
_cell_angle_gamma 120.00
_space_group_name_H-M_alt 'P 6/m m m'
_space_group_IT_number 191
_space_group_name_Hall '-P 6 2'
loop_
_atom_site_label
_atom_site_fract_x
_atom_site_fract_y
_atom_site_fract_z
Fe1 0.0000 0.5000 0.0000
Sn1 0.0000 0.0000 0.0000
Sn2 0.3333 0.6667 0.2973
Au1 0.0000 0.0000 0.5000
```